Density functional theory data (PBE) for a relaxed structure of Zr2CuPt2.

abc: 7.634 7.634 3.328
angles: 90.00 90.00 90.00
Fractional coordinates of all 10 atoms:
Zr  0.165  0.335  0.000
Zr  0.335  0.835  0.000
Zr  0.665  0.165  0.000
Zr  0.835  0.665  0.000
Cu  0.000  0.000  0.000
Cu  0.500  0.500  0.000
Pt  0.133  0.633  0.500
Pt  0.367  0.133  0.500
Pt  0.633  0.867  0.500
Pt  0.867  0.367  0.500

## Properties
Formation energy ... -2.5 eV/f.u.
Crystal system ... tetragonal



Density functional theory data (PBE) for a relaxed structure of ZrCuPt.

abc: 4.870 4.870 4.870
angles: 138.27 138.27 60.49
Fractional coordinates of all 3 atoms:
Zr  0.000  0.000  0.000
Cu  0.672  0.672  0.000
Pt  0.339  0.339  0.000

## Properties
Formation energy ... -2.1 eV/f.u.
Crystal system ... tetragonal
Energy above the most stable polymorph in this dataset ... 0.000 eV per atom



Density functional theory data (PBE) for a relaxed structure of Pu3Cu.

abc: 4.555 4.555 4.555
angles: 90.00 90.00 90.00
Fractional coordinates of all 4 atoms:
Pu  0.000  0.000  0.500
Pu  0.000  0.500  0.000
Pu  0.500  0.000  0.000
Cu  0.500  0.500  0.500

## Properties
Formation energy ... 1.0 eV/f.u.
Crystal system ... cubic
Energy above the most stable polymorph in this dataset ... 0.073 eV per atom



Density functional theory data (PBE) for a relaxed structure of PuCu3.

abc: 2.722 4.147 5.818
angles: 90.00 90.00 90.00
Fractional coordinates of all 4 atoms:
Pu  0.000  0.000  0.000
Cu  0.000  0.500  0.636
Cu  0.500  0.000  0.521
Cu  0.500  0.500  0.278

## Properties
Formation energy ... 0.6 eV/f.u.
Crystal system ... orthorhombic



Density functional theory data (PBE) for a relaxed structure of PuCu2.

abc: 5.219 5.219 8.533
angles: 90.00 90.00 120.00
Fractional coordinates of all 12 atoms:
Pu  0.333  0.667  0.056
Pu  0.333  0.667  0.444
Pu  0.667  0.333  0.556
Pu  0.667  0.333  0.944
Cu  0.000  0.000  0.000
Cu  0.000  0.000  0.500
Cu  0.165  0.330  0.750
Cu  0.165  0.835  0.750
Cu  0.330  0.165  0.250
Cu  0.670  0.835  0.750
Cu  0.835  0.165  0.250
Cu  0.835  0.670  0.250

## Properties
Formation energy ... -0.1 eV/f.u.
Crystal system ... hexagonal



Density functional theory data (PBE) for a relaxed structure of PuCu3.

abc: 8.830 8.830 8.830
angles: 33.98 33.98 33.98
Fractional coordinates of all 12 atoms:
Pu  0.000  0.000  0.000
Pu  0.146  0.146  0.146
Pu  0.854  0.854  0.854
Cu  0.084  0.580  0.580
Cu  0.332  0.332  0.332
Cu  0.420  0.420  0.916
Cu  0.420  0.916  0.420
Cu  0.500  0.500  0.500
Cu  0.580  0.084  0.580
Cu  0.580  0.580  0.084
Cu  0.668  0.668  0.668
Cu  0.916  0.420  0.420

## Properties
Formation energy ... -0.1 eV/f.u.
Crystal system ... trigonal



Density functional theory data (PBE) for a relaxed structure of Pu3Cu.

abc: 5.790 5.790 5.790
angles: 151.78 73.65 113.60
Fractional coordinates of all 4 atoms:
Pu  0.000  0.000  0.000
Pu  0.082  0.275  0.806
Pu  0.469  0.275  0.194
Cu  0.599  0.099  0.500

## Properties
Formation energy ... 0.7 eV/f.u.
Crystal system ... orthorhombic
Energy above the most stable polymorph in this dataset ... 0.000 eV per atom



Density functional theory data (PBE) for a relaxed structure of PuCu.

abc: 2.764 3.725 6.118
angles: 90.00 94.79 90.00
Fractional coordinates of all 4 atoms:
Pu  0.143  0.250  0.103
Pu  0.857  0.750  0.897
Cu  0.267  0.250  0.586
Cu  0.733  0.750  0.414

## Properties
Formation energy ... 0.2 eV/f.u.
Crystal system ... monoclinic



Density functional theory data (PBE) for a relaxed structure of PuCu2.

abc: 5.436 5.436 5.436
angles: 132.44 104.73 94.06
Fractional coordinates of all 6 atoms:
Pu  0.298  0.048  0.250
Pu  0.702  0.952  0.750
Cu  0.108  0.664  0.444
Cu  0.280  0.336  0.944
Cu  0.720  0.664  0.056
Cu  0.892  0.336  0.556

## Properties
Formation energy ... 0.0 eV/f.u.
Crystal system ... orthorhombic



Density functional theory data (PBE) for a relaxed structure of Pu2Cu17.

abc: 6.476 6.476 6.476
angles: 83.06 83.06 83.06
Fractional coordinates of all 19 atoms:
Pu  0.155  0.155  0.155
Pu  0.845  0.845  0.845
Cu  0.000  0.500  0.500
Cu  0.155  0.155  0.651
Cu  0.155  0.651  0.155
Cu  0.206  0.500  0.794
Cu  0.206  0.794  0.500
Cu  0.349  0.845  0.845
Cu  0.402  0.402  0.402
Cu  0.500  0.000  0.500
Cu  0.500  0.206  0.794
Cu  0.500  0.500  0.000
Cu  0.500  0.794  0.206
Cu  0.598  0.598  0.598
Cu  0.651  0.155  0.155
Cu  0.794  0.206  0.500
Cu  0.794  0.500  0.206
Cu  0.845  0.349  0.845
Cu  0.845  0.845  0.349

## Properties
Formation energy ... 0.0 eV/f.u.
Crystal system ... trigonal



Density functional theory data (PBE) for a relaxed structure of PuCu6.

abc: 8.069 5.030 10.080
angles: 90.00 90.00 90.00
Fractional coordinates of all 28 atoms:
Pu  0.241  0.250  0.064
Pu  0.259  0.750  0.564
Pu  0.741  0.250  0.436
Pu  0.759  0.750  0.936
Cu  0.062  0.750  0.094
Cu  0.065  0.006  0.308
Cu  0.065  0.494  0.308
Cu  0.099  0.250  0.517
Cu  0.146  0.750  0.856
Cu  0.183  0.250  0.756
Cu  0.317  0.750  0.256
Cu  0.354  0.250  0.356
Cu  0.401  0.750  0.017
Cu  0.435  0.506  0.808
Cu  0.435  0.994  0.808
Cu  0.438  0.250  0.594
Cu  0.562  0.750  0.406
Cu  0.565  0.006  0.192
Cu  0.565  0.494  0.192
Cu  0.599  0.250  0.983
Cu  0.646  0.750  0.644
Cu  0.683  0.250  0.744
Cu  0.817  0.750  0.244
Cu  0.854  0.250  0.144
Cu  0.901  0.750  0.483
Cu  0.935  0.506  0.692
Cu  0.935  0.994  0.692
Cu  0.938  0.250  0.906

## Properties
Formation energy ... -0.1 eV/f.u.
Crystal system ... orthorhombic



Density functional theory data (PBE) for a relaxed structure of Pu3Cu.

abc: 2.355 4.765 5.952
angles: 90.00 90.00 90.00
Fractional coordinates of all 4 atoms:
Pu  0.000  0.000  0.000
Pu  0.000  0.500  0.237
Pu  0.500  0.500  0.719
Cu  0.500  0.000  0.478

## Properties
Formation energy ... 1.8 eV/f.u.
Crystal system ... orthorhombic
Energy above the most stable polymorph in this dataset ... 0.286 eV per atom



Density functional theory data (PBE) for a relaxed structure of PuCu2.

abc: 4.540 4.540 2.918
angles: 90.00 90.00 120.00
Fractional coordinates of all 3 atoms:
Pu  0.000  0.000  0.000
Cu  0.333  0.667  0.500
Cu  0.667  0.333  0.500

## Properties
Formation energy ... 0.0 eV/f.u.
Crystal system ... hexagonal



Density functional theory data (PBE) for a relaxed structure of Rb2Pu2CuS6.

abc: 7.019 7.019 8.118
angles: 96.97 96.97 124.64
Fractional coordinates of all 11 atoms:
Rb  0.151  0.849  0.000
Rb  0.849  0.151  0.000
Pu  0.337  0.663  0.500
Pu  0.663  0.337  0.500
Cu  0.000  0.000  0.500
S  0.052  0.421  0.690
S  0.246  0.246  0.342
S  0.421  0.052  0.690
S  0.579  0.948  0.310
S  0.754  0.754  0.658
S  0.948  0.579  0.310

## Properties
Final energy ... -71.9 eV for the cell shown
Crystal system ... monoclinic



Density functional theory data (PBE) for a relaxed structure of Rb4Pu3CuS8.

abc: 8.159 8.159 8.934
angles: 117.17 117.17 58.82
Fractional coordinates of all 16 atoms:
Rb  0.000  0.000  0.000
Rb  0.000  0.500  0.000
Rb  0.500  0.000  0.000
Rb  0.500  0.500  0.000
Pu  0.000  0.000  0.500
Pu  0.000  0.500  0.500
Pu  0.500  0.000  0.500
Cu  0.500  0.500  0.500
S  0.229  0.229  0.692
S  0.235  0.718  0.678
S  0.259  0.259  0.305
S  0.282  0.765  0.322
S  0.718  0.235  0.678
S  0.741  0.741  0.695
S  0.765  0.282  0.322
S  0.771  0.771  0.308

## Properties
Final energy ... -104.3 eV for the cell shown
Crystal system ... monoclinic



Density functional theory data (PBE) for a relaxed structure of Rb2PuCuS4.

abc: 6.818 6.818 6.818
angles: 113.50 113.50 101.68
Fractional coordinates of all 8 atoms:
Rb  0.000  0.000  0.000
Rb  0.750  0.250  0.500
Pu  0.500  0.500  0.000
Cu  0.250  0.750  0.500
S  0.208  0.617  0.111
S  0.383  0.494  0.591
S  0.506  0.097  0.889
S  0.903  0.792  0.409

## Properties
Final energy ... -43.8 eV for the cell shown
Crystal system ... tetragonal



Density functional theory data (PBE) for a relaxed structure of RbPu4Cu3S12.

abc: 8.423 8.423 8.423
angles: 109.47 109.47 109.47
Fractional coordinates of all 20 atoms:
Rb  0.000  0.000  0.000
Pu  0.000  0.000  0.500
Pu  0.000  0.500  0.000
Pu  0.500  0.000  0.000
Pu  0.500  0.500  0.500
Cu  0.000  0.500  0.500
Cu  0.500  0.000  0.500
Cu  0.500  0.500  0.000
S  0.163  0.490  0.327
S  0.163  0.836  0.673
S  0.164  0.327  0.837
S  0.327  0.163  0.490
S  0.327  0.837  0.164
S  0.490  0.327  0.163
S  0.510  0.673  0.837
S  0.673  0.163  0.836
S  0.673  0.837  0.510
S  0.836  0.673  0.163
S  0.837  0.164  0.327
S  0.837  0.510  0.673

## Properties
Final energy ... -137.0 eV for the cell shown
Crystal system ... cubic



Density functional theory data (PBE) for a relaxed structure of RbPu2CuS5.

abc: 8.726 8.726 8.726
angles: 128.23 128.23 76.26
Fractional coordinates of all 18 atoms:
Rb  0.250  0.250  0.000
Rb  0.750  0.750  0.000
Pu  0.167  0.667  0.834
Pu  0.333  0.167  0.500
Pu  0.667  0.833  0.500
Pu  0.833  0.333  0.166
Cu  0.250  0.750  0.500
Cu  0.750  0.250  0.500
S  0.000  0.000  0.000
S  0.017  0.234  0.500
S  0.234  0.734  0.217
S  0.266  0.483  0.500
S  0.483  0.983  0.217
S  0.500  0.500  0.000
S  0.517  0.017  0.783
S  0.734  0.517  0.500
S  0.766  0.266  0.783
S  0.983  0.766  0.500

## Properties
Final energy ... -130.6 eV for the cell shown
Crystal system ... tetragonal



Density functional theory data (PBE) for a relaxed structure of RbPu2CuS4.

abc: 7.215 7.215 13.744
angles: 90.00 90.00 147.65
Fractional coordinates of all 16 atoms:
Rb  0.105  0.895  0.750
Rb  0.895  0.105  0.250
Pu  0.367  0.633  0.559
Pu  0.367  0.633  0.941
Pu  0.633  0.367  0.059
Pu  0.633  0.367  0.441
Cu  0.167  0.833  0.250
Cu  0.833  0.167  0.750
S  0.000  0.000  0.000
S  0.000  0.000  0.500
S  0.259  0.741  0.109
S  0.259  0.741  0.391
S  0.421  0.579  0.750
S  0.579  0.421  0.250
S  0.741  0.259  0.609
S  0.741  0.259  0.891

## Properties
Final energy ... -123.0 eV for the cell shown
Crystal system ... orthorhombic



Density functional theory data (PBE) for a relaxed structure of RbPuCuS4.

abc: 6.853 5.315 9.594
angles: 90.00 105.71 90.00
Fractional coordinates of all 14 atoms:
Rb  0.246  0.250  0.035
Rb  0.754  0.750  0.965
Pu  0.279  0.250  0.559
Pu  0.721  0.750  0.441
Cu  0.244  0.750  0.321
Cu  0.756  0.250  0.679
S  0.012  0.543  0.693
S  0.012  0.957  0.693
S  0.404  0.750  0.562
S  0.462  0.750  0.184
S  0.538  0.250  0.816
S  0.596  0.250  0.438
S  0.988  0.043  0.307
S  0.988  0.457  0.307

## Properties
Final energy ... -84.8 eV for the cell shown
Crystal system ... monoclinic



Density functional theory data (PBE) for a relaxed structure of Rb3Pu2CuS6.

abc: 7.149 7.149 7.883
angles: 97.49 97.49 123.73
Fractional coordinates of all 12 atoms:
Rb  0.000  0.000  0.000
Rb  0.345  0.655  0.000
Rb  0.655  0.345  0.000
Pu  0.165  0.835  0.500
Pu  0.835  0.165  0.500
Cu  0.500  0.500  0.500
S  0.075  0.439  0.301
S  0.253  0.253  0.662
S  0.439  0.075  0.301
S  0.561  0.925  0.699
S  0.747  0.747  0.338
S  0.925  0.561  0.699

## Properties
Final energy ... -74.6 eV for the cell shown
Crystal system ... monoclinic